# CoPtIN2 | the Alexandria database | GGA-PBEsol | relaxed
data_CoPtIN2
_space_group_name_H-M_alt 'P 4/m m m'
_space_group_IT_number 123
_space_group_name_Hall '-P 4 2'
_cell_length_a 3.611
_cell_length_b 3.611
_cell_length_c 6.189
_cell_angle_alpha 90.00
_cell_angle_beta 90.00
_cell_angle_gamma 90.00
loop_
_atom_site_label
_atom_site_fract_x
_atom_site_fract_y
_atom_site_fract_z
Co1 0.000 0.000 0.000
Pt1 0.500 0.500 0.500
I1 0.000 0.000 0.500
N1 0.000 0.500 0.000
# - ΔE_f (raw): 1.20 eV per atom
# - E_tot: -5.507 eV/atom
# - Total magnetization: 0.000 μB/atom

***

# CsTaSe3 | the Alexandria database | GGA-PBEsol | relaxed
data_CsTaSe3
_space_group_name_H-M_alt 'P n m a'
_space_group_IT_number 62
_cell_length_a 6.043
_cell_length_b 7.488
_cell_length_c 13.011
_cell_angle_alpha 90.00
_cell_angle_beta 90.00
_cell_angle_gamma 90.00
loop_
_space_group_symop_operation_xyz
'x,y,z'
'-x,-y,-z'
'-x+1/2,-y,z+1/2'
'x+1/2,y,-z+1/2'
'x+1/2,-y+1/2,-z+1/2'
'-x+1/2,y+1/2,z+1/2'
'-x,y+1/2,-z'
'x,-y+1/2,z'
loop_
_atom_site_label
_atom_site_fract_x
_atom_site_fract_y
_atom_site_fract_z
Cs1 0.242 0.250 0.088
Ta1 0.018 0.250 0.773
Se1 0.227 0.250 0.592
Se2 0.235 0.510 0.332
# - ΔE_f (raw): -0.98 eV per atom
# - E_tot: -5.988 eV/atom
# - Total magnetization: 0.000 μB/atom
# - Offset from the most stable computed form: 0.000 eV/atom

***

# CsSnIr3 | the Alexandria database | GGA-PBEsol | relaxed
data_CsSnIr3
_space_group_name_H-M_alt 'P m -3 m'
_space_group_IT_number 221
_space_group_name_Hall '-P 4 2 3'
_cell_length_a 4.977
_cell_length_b 4.977
_cell_length_c 4.977
_cell_angle_alpha 90.00
_cell_angle_beta 90.00
_cell_angle_gamma 90.00
loop_
_atom_site_label
_atom_site_fract_x
_atom_site_fract_y
_atom_site_fract_z
Cs1 0.000 0.000 0.000
Sn1 0.500 0.500 0.500
Ir1 0.000 0.500 0.500
# - ΔH_f (0 K): 1.707 eV per atom
# - E_tot: -5.227 eV/atom
# - Total magnetization: 0.198 μB/atom

***

# SbRhBr2 | the Alexandria database | GGA-PBEsol | relaxed
data_SbRhBr2
_space_group_name_H-M_alt 'P 3 m 1'
_space_group_IT_number 156
_cell_length_a 3.8695
_cell_length_b 3.8695
_cell_length_c 8.1509
_cell_angle_alpha 90.00
_cell_angle_beta 90.00
_cell_angle_gamma 120.00
loop_
_space_group_symop_operation_xyz
'x,y,z'
'-y,x-y,z'
'-x+y,-x,z'
'-y,-x,z'
'-x+y,y,z'
'x,x-y,z'
loop_
_atom_site_label
_atom_site_fract_x
_atom_site_fract_y
_atom_site_fract_z
Sb1 0.0000 0.0000 0.0000
Rh1 0.3333 0.6667 0.8566
Br1 0.0000 0.0000 0.3056
Br2 0.6667 0.3333 0.6762
# - ΔE_f (raw): -0.42 eV per atom
# - E_tot: -4.526 eV/atom
# - Total magnetization: 0.010 μB/atom
# - Offset from the most stable computed form: 0.000 eV/atom

***

E_tot of number 2 (CsTaSe3)? -5.988 eV/atom

***

Number 4 is which compound? SbRhBr2

***

Look up the E_tot of the fourth one. -4.526 eV/atom